[1]
{
  "formula": "ErSbIrO6",
  "functional": "PBE-GGA",
  "state": "relaxed",
  "crystal_system": "trigonal",
  "dos_ef_per_ev_cell": 9.3,
  "m_tot_mub_per_fu": 0.78,
  "total_energy_ev_per_atom": -6.9153,
  "lattice_angstrom": [[5.276, 0.000, 0.000], [-2.638, 4.569, 0.000], [0.000, 0.000, 9.081]],
  "species": ["Er", "Er", "Sb", "Sb", "Ir", "Ir", "O", "O", "O", "O", "O", "O", "O", "O", "O", "O", "O", "O"],
  "frac_coords": [[0.667, 0.333, 0.750], [0.333, 0.667, 0.250], [0.000, 0.000, 0.000], [0.000, 0.000, 0.500], [0.667, 0.333, 0.250], [0.333, 0.667, 0.750], [0.659, 0.974, 0.879], [0.026, 0.686, 0.879], [0.026, 0.341, 0.621], [0.341, 0.026, 0.121], [0.314, 0.974, 0.621], [0.974, 0.314, 0.121], [0.341, 0.314, 0.379], [0.686, 0.659, 0.121], [0.314, 0.341, 0.879], [0.974, 0.659, 0.379], [0.659, 0.686, 0.621], [0.686, 0.026, 0.379]]
}

=====

[2]
{
  "formula": "ErScIrO6",
  "functional": "PBE-GGA",
  "state": "relaxed",
  "crystal_system": "trigonal",
  "dos_ef_per_ev_cell": 12.3,
  "m_tot_mub_per_fu": 0.52,
  "total_energy_ev_per_atom": -7.6575,
  "lattice_angstrom": [[-0.547, 2.383, 4.775], [1.837, -5.032, -0.292], [8.408, 3.104, -0.585]],
  "species": ["Sc", "Sc", "O", "O", "O", "O", "O", "O", "O", "O", "O", "O", "O", "O", "Er", "Er", "Ir", "Ir"],
  "frac_coords": [[0.000, 0.000, 0.000], [0.000, 0.000, 0.500], [0.357, 0.317, 0.373], [0.960, 0.317, 0.127], [0.683, 0.643, 0.127], [0.960, 0.643, 0.373], [0.643, 0.960, 0.873], [0.040, 0.357, 0.627], [0.040, 0.683, 0.873], [0.317, 0.960, 0.627], [0.357, 0.040, 0.127], [0.643, 0.683, 0.627], [0.683, 0.040, 0.373], [0.317, 0.357, 0.873], [0.333, 0.667, 0.250], [0.667, 0.333, 0.750], [0.667, 0.333, 0.250], [0.333, 0.667, 0.750]]
}

=====

[3]
{
  "formula": "SmErIrO6",
  "functional": "PBE-GGA",
  "state": "relaxed",
  "crystal_system": "trigonal",
  "dos_ef_per_ev_cell": 5.6,
  "m_tot_mub_per_fu": 2.92,
  "total_energy_ev_per_atom": -7.5240,
  "lattice_angstrom": [[5.485, 0.000, 0.000], [-2.742, 4.750, 0.000], [0.000, 0.000, 9.843]],
  "species": ["O", "O", "O", "O", "O", "O", "O", "O", "O", "O", "O", "O", "Sm", "Sm", "Er", "Er", "Ir", "Ir"],
  "frac_coords": [[0.628, 0.962, 0.863], [0.962, 0.334, 0.137], [0.962, 0.628, 0.363], [0.628, 0.666, 0.637], [0.038, 0.372, 0.637], [0.666, 0.038, 0.363], [0.334, 0.372, 0.863], [0.038, 0.666, 0.863], [0.666, 0.628, 0.137], [0.334, 0.962, 0.637], [0.372, 0.038, 0.137], [0.372, 0.334, 0.363], [0.000, 0.000, 0.000], [0.000, 0.000, 0.500], [0.667, 0.333, 0.750], [0.333, 0.667, 0.250], [0.333, 0.667, 0.750], [0.667, 0.333, 0.250]]
}

=====

[4]
{
  "formula": "SmEr2IrO8",
  "functional": "PBE-GGA",
  "state": "relaxed",
  "crystal_system": "monoclinic",
  "dos_ef_per_ev_cell": 5.2,
  "m_tot_mub_per_fu": 1.74,
  "total_energy_ev_per_atom": -7.5519,
  "lattice_angstrom": [[5.037, -0.015, -0.003], [0.015, 5.030, -0.006], [0.004, 0.007, 6.811]],
  "species": ["Er", "Er", "Sm", "O", "O", "O", "O", "O", "O", "O", "O", "Ir"],
  "frac_coords": [[0.500, 0.500, 0.749], [0.500, 0.500, 0.251], [0.000, 0.000, 0.500], [0.814, 0.188, 0.794], [0.814, 0.188, 0.206], [0.271, 0.269, 0.000], [0.685, 0.687, 0.500], [0.315, 0.313, 0.500], [0.186, 0.812, 0.794], [0.729, 0.731, 0.000], [0.186, 0.812, 0.206], [0.000, 0.000, 0.000]]
}

=====

[5]
{
  "formula": "SrErIrO6",
  "functional": "PBE-GGA",
  "state": "relaxed",
  "crystal_system": "trigonal",
  "dos_ef_per_ev_cell": 10.5,
  "m_tot_mub_per_fu": 2.03,
  "total_energy_ev_per_atom": -6.9071,
  "lattice_angstrom": [[5.554, 0.000, 0.000], [-2.777, 4.810, 0.000], [0.000, 0.000, 10.431]],
  "species": ["O", "O", "O", "O", "O", "O", "O", "O", "O", "O", "O", "O", "Er", "Er", "Sr", "Sr", "Ir", "Ir"],
  "frac_coords": [[0.388, 0.041, 0.145], [0.612, 0.959, 0.855], [0.959, 0.612, 0.355], [0.653, 0.612, 0.145], [0.653, 0.041, 0.355], [0.959, 0.347, 0.145], [0.388, 0.347, 0.355], [0.347, 0.388, 0.855], [0.041, 0.653, 0.855], [0.347, 0.959, 0.645], [0.612, 0.653, 0.645], [0.041, 0.388, 0.645], [0.333, 0.667, 0.250], [0.667, 0.333, 0.750], [0.000, 0.000, 0.000], [0.000, 0.000, 0.500], [0.667, 0.333, 0.250], [0.333, 0.667, 0.750]]
}

=====

[6]
{
  "formula": "TbEr2IrO8",
  "functional": "PBE-GGA",
  "state": "relaxed",
  "crystal_system": "monoclinic",
  "dos_ef_per_ev_cell": 5.3,
  "m_tot_mub_per_fu": 1.62,
  "total_energy_ev_per_atom": -7.5689,
  "lattice_angstrom": [[-2.326, -4.142, 1.622], [4.182, -1.369, 2.393], [-2.066, 3.318, 5.509]],
  "species": ["O", "O", "O", "O", "O", "O", "O", "O", "Tb", "Er", "Er", "Ir"],
  "frac_coords": [[0.729, 0.730, 0.000], [0.311, 0.309, 0.500], [0.185, 0.814, 0.210], [0.271, 0.270, 0.000], [0.815, 0.186, 0.210], [0.815, 0.186, 0.790], [0.689, 0.691, 0.500], [0.185, 0.814, 0.790], [0.000, 0.000, 0.500], [0.500, 0.500, 0.252], [0.500, 0.500, 0.748], [0.000, 0.000, 0.000]]
}